(1)
Compound: KSrGa4Pt2
Source: OQMD
Functional: PBE
Structure: relaxed

Cell: 7.3479 4.2944 11.3250 Å, 90.00 90.00 90.00°
Space group Amm2 (No. 38)
Symmetry-distinct sites (fractional):
K 0.0000 0.0000 0.0000
Sr 0.5000 0.0000 0.1127
Ga 0.1912 0.0000 0.7248
Ga 0.3063 0.0000 0.3907
Pt 0.0000 0.0000 0.2728
Pt 0.5000 0.0000 0.8397

Summary:
The total energy is -3.9396 eV/atom.

=====

(2)
Compound: Re2Se3S
Source: OQMD
Functional: PBE
Structure: relaxed

Cell: 5.8954 3.1208 11.9470 Å, 90.00 103.99 90.00°
Space group Pm (No. 6)
Symmetry-distinct sites (fractional):
Re 0.0000 0.0000 0.0000
Re 0.4043 0.5000 0.0006
Se 0.2054 0.5000 0.1633
Se 0.5740 0.0000 0.8721
Se 0.7015 0.0000 0.1283
S 0.0495 0.5000 0.8567

Summary:
The value obtained for the energy relative to the lowest polymorph listed for this composition is 1.20 eV/f.u.

=====

(3)
Compound: ZrReNO
Source: OQMD
Functional: PBE
Structure: relaxed

Cell: 6.3171 6.9708 4.6262 Å, 90.00 90.00 90.00°
Space group Pca2_1 (No. 29)
Symmetry-distinct sites (fractional):
Zr 0.0702 0.1381 0.0000
Re 0.1594 0.6764 0.9936
N 0.0856 0.1480 0.5018
O 0.0104 0.5635 0.6042

Summary:
The value obtained for the energy relative to the lowest polymorph listed for this composition is 0.71 eV/f.u.

=====

(4)
Compound: ZnF2
Source: OQMD
Functional: PBE
Structure: relaxed

Cell: 3.1170 3.1170 7.8410 Å, 90.00 90.00 120.00°
Space group P6_3mc (No. 186)
Symmetry-distinct sites (fractional):
Zn 0.3333 0.6667 0.0000
F 0.0000 0.0000 0.3775
F 0.3333 0.6667 0.6250

Summary:
The total energy is -3.8642 eV/atom.

=====

(5)
Compound: PrHo4Ag5
Source: OQMD
Functional: PBE
Structure: relaxed

Cell: 3.6251 3.6251 18.3367 Å, 90.00 90.00 90.00°
Space group P4/mmm (No. 123)
Symmetry-distinct sites (fractional):
Pr 0.0000 0.0000 0.0000
Ho 0.0000 0.0000 0.2061
Ho 0.0000 0.0000 0.4019
Ag 0.5000 0.5000 0.1123
Ag 0.5000 0.5000 0.3035
Ag 0.5000 0.5000 0.5000

Summary:
The value obtained for the formation energy is -324.6 meV/atom.

=====

(6)
Compound: InAgAsO
Source: OQMD
Functional: PBE
Structure: relaxed

Cell: 4.3376 4.3376 8.9607 Å, 90.00 90.00 90.00°
Space group P4/nmm (No. 129, origin choice 2)
Symmetry-distinct sites (fractional):
In 0.2500 0.7500 0.0000
Ag 0.2500 0.2500 0.4617
As 0.2500 0.2500 0.8053
O 0.2500 0.7500 0.5000

Summary:
The value obtained for the energy relative to the lowest polymorph listed for this composition is 1.93 eV/f.u.

=====

(7)
Compound: IrI2Br
Source: OQMD
Functional: PBE
Structure: relaxed

Cell: 6.8364 11.5428 6.8319 Å, 90.00 108.76 90.00°
Space group C2/m (No. 12)
Symmetry-distinct sites (fractional):
Ir 0.0000 0.1642 0.0000
I 0.2485 0.3241 0.2296
Br 0.2096 0.0000 0.2179

Summary:
The value obtained for the energy relative to the lowest polymorph listed for this composition is 0.00 eV/f.u.

=====

(8)
Compound: SmYPt
Source: OQMD
Functional: PBE
Structure: relaxed

Cell: 7.2232 4.8325 8.8742 Å, 90.00 90.00 90.00°
Space group Pnma (No. 62)
Symmetry-distinct sites (fractional):
Sm 0.0094 0.2500 0.1699
Y 0.1426 0.2500 0.5820
Pt 0.2448 0.2500 0.9101

Summary:
The value obtained for the energy relative to the lowest polymorph listed for this composition is 0.00 eV/f.u. The value obtained for the formation energy is -901.5 meV/atom.

=====

(9)
Compound: Al5Ni7
Source: OQMD
Functional: PBE
Structure: relaxed

Cell: 4.8728 4.8728 15.0498 Å, 90.00 90.00 120.00°
Space group P6_3/mmc (No. 194)
Symmetry-distinct sites (fractional):
Al 0.1646 0.3292 0.2500
Al 0.3333 0.6667 0.6361
Ni 0.0000 0.0000 0.1060
Ni 0.0000 0.5000 0.0000
Ni 0.3333 0.6667 0.1270

Summary:
The value obtained for the energy relative to the lowest polymorph listed for this composition is 0.75 eV/f.u.

=====

(10)
Compound: SmSnIr
Source: OQMD
Functional: PBE
Structure: relaxed

Cell: 7.2117 7.2117 4.4018 Å, 90.00 90.00 120.00°
Space group P-62m (No. 189)
Symmetry-distinct sites (fractional):
Sm 0.0000 0.5707 0.0000
Sn 0.0000 0.0000 0.0000
Sn 0.3333 0.6667 0.5000
Ir 0.0000 0.2346 0.5000

Summary:
The total energy is -6.4963 eV/atom.

=====

(11)
Compound: NaAg3PtS4
Source: OQMD
Functional: PBE
Structure: relaxed

Cell: 6.0776 6.0776 6.0776 Å, 90.00 90.00 90.00°
Space group P-43m (No. 215)
Symmetry-distinct sites (fractional):
Na 0.0000 0.0000 0.0000
Ag 0.0000 0.5000 0.5000
Pt 0.5000 0.5000 0.5000
S 0.2726 0.2726 0.2726

Summary:
The total energy is -3.6385 eV/atom.

=====

(12)
Compound: InW4AuC2
Source: OQMD
Functional: PBE
Structure: relaxed

Cell: 3.1208 3.1208 13.8506 Å, 90.00 90.00 120.00°
Space group P-6m2 (No. 187)
Symmetry-distinct sites (fractional):
In 0.0000 0.0000 0.0000
W 0.0000 0.0000 0.3353
W 0.3333 0.6667 0.1726
Au 0.3333 0.6667 0.5000
C 0.6667 0.3333 0.2543

Summary:
The total energy is -9.3042 eV/atom.

=====

(13)
Compound: Dy2In2Pd3Pt
Source: OQMD
Functional: PBE
Structure: relaxed

Cell: 4.5965 4.5965 8.9417 Å, 90.00 90.00 120.00°
Space group P3m1 (No. 156)
Symmetry-distinct sites (fractional):
Dy 0.0000 0.0000 0.0000
Dy 0.3333 0.6667 0.4941
In 0.6667 0.3333 0.2491
In 0.6667 0.3333 0.7492
Pd 0.0000 0.0000 0.6625
Pd 0.3333 0.6667 0.1565
Pd 0.3333 0.6667 0.8344
Pt 0.0000 0.0000 0.3381

Summary:
The total energy is -5.4020 eV/atom.

=====

(14)
Compound: DyY4Tm2Te2Pd2
Source: OQMD
Functional: PBE
Structure: relaxed

Cell: 3.9409 15.6915 9.6250 Å, 90.00 90.00 90.00°
Space group Imm2 (No. 44)
Symmetry-distinct sites (fractional):
Dy 0.0000 0.0000 0.0000
Y 0.0000 0.1276 0.4152
Y 0.0000 0.3562 0.2629
Tm 0.0000 0.3172 0.6223
Te 0.0000 0.0000 0.6637
Te 0.0000 0.5000 0.7611
Pd 0.0000 0.2369 0.9324

Summary:
The total energy is -5.9583 eV/atom.

=====

(15)
Compound: GaCu2Ge
Source: OQMD
Functional: PBE
Structure: relaxed

Cell: 6.1807 6.1807 6.1807 Å, 90.00 90.00 90.00°
Space group Pm-3m (No. 221)
Symmetry-distinct sites (fractional):
Ga 0.0000 0.0000 0.0000
Ga 0.0000 0.0000 0.5000
Cu 0.2453 0.2453 0.2453
Ge 0.0000 0.5000 0.5000
Ge 0.5000 0.5000 0.5000

Summary:
The total energy is -3.6449 eV/atom.

=====

(16)
Compound: Zn2GeO4
Source: OQMD
Functional: PBE
Structure: relaxed

Cell: 14.2609 14.2609 9.5778 Å, 90.00 90.00 120.00°
Space group R-3 (No. 148, hexagonal axes)
Symmetry-distinct sites (fractional):
Zn 0.0243 0.8120 0.0838
Zn 0.0264 0.8105 0.4177
Ge 0.0216 0.8061 0.7498
O 0.0029 0.6743 0.7488
O 0.0862 0.8766 0.9034
O 0.0894 0.8779 0.5977
O 0.1021 0.8887 0.2504

Summary:
The value obtained for the energy relative to the lowest polymorph listed for this composition is 0.00 eV/f.u.

=====

(17)
Compound: Y2AlHg
Source: OQMD
Functional: PBE
Structure: relaxed

Cell: 7.3595 7.3595 7.3595 Å, 90.00 90.00 90.00°
Space group F-43m (No. 216)
Symmetry-distinct sites (fractional):
Y 0.0000 0.0000 0.0000
Y 0.2500 0.2500 0.2500
Al 0.0000 0.0000 0.5000
Hg 0.2500 0.2500 0.7500

Summary:
The total energy is -4.1720 eV/atom.

=====

(18)
Compound: NaSrAu2
Source: OQMD
Functional: PBE
Structure: relaxed

Cell: 3.7760 3.7760 6.9576 Å, 90.00 90.00 90.00°
Space group P4/mmm (No. 123)
Symmetry-distinct sites (fractional):
Na 0.0000 0.0000 0.0000
Sr 0.0000 0.0000 0.5000
Au 0.5000 0.5000 0.2211

Summary:
The value obtained for the energy relative to the lowest polymorph listed for this composition is 0.08 eV/f.u.

=====

(19)
Compound: NbC
Source: OQMD
Functional: PBE
Structure: relaxed

Cell: 3.7225 3.7225 4.4528 Å, 90.00 90.00 120.00°
Space group P6_3/mmc (No. 194)
Symmetry-distinct sites (fractional):
Nb 0.3333 0.6667 0.2500
C 0.3333 0.6667 0.7500

Summary:
The value obtained for the energy relative to the lowest polymorph listed for this composition is 0.26 eV/f.u.

=====

(20)
Compound: CsTbCu3Se4
Source: OQMD
Functional: PBE
Structure: relaxed

Cell: 6.5889 6.5889 6.5889 Å, 90.00 90.00 90.00°
Space group P-43m (No. 215)
Symmetry-distinct sites (fractional):
Cs 0.0000 0.0000 0.0000
Tb 0.5000 0.5000 0.5000
Cu 0.0000 0.5000 0.5000
Se 0.2728 0.2728 0.2728

Summary:
The value obtained for the energy relative to the lowest polymorph listed for this composition is 3.01 eV/f.u.